Record 1
Below is a geometry-optimized Pu2Pa4Ge3H2 structure, with properties calculated at the GGA-PBE level.

a b c (Å): 4.363 4.363 12.441
angles (deg): 100.10 100.10 90.00
Atoms (fractional coordinates):
Pa 0.415 0.915 0.831
Pa 0.585 0.085 0.169
Pa 0.085 0.585 0.169
Pa 0.915 0.415 0.831
Ge 0.173 0.173 0.346
Ge 0.000 0.000 0.000
Ge 0.827 0.827 0.654
Pu 0.298 0.298 0.595
Pu 0.702 0.702 0.405
H 0.552 0.552 0.104
H 0.448 0.448 0.896

Calculated values
DOS(E_F): 24.25 states/eV/f.u.
VASP energy: -89.795 eV for the cell shown

Record 2
Below is a geometry-optimized ScTaNi10 structure, with properties calculated at the GGA-PBE level.

a b c (Å): 3.964 4.697 8.114
angles (deg): 90.00 90.00 90.00
Atoms (fractional coordinates):
Ni 0.500 0.255 0.743
Ni 0.500 0.000 0.500
Ni 0.500 0.745 0.743
Ni 0.000 0.000 0.662
Ni 0.000 0.000 0.338
Ni 0.500 0.500 0.000
Ni 0.000 0.500 0.173
Ni 0.000 0.500 0.827
Ni 0.500 0.255 0.257
Ni 0.500 0.745 0.257
Sc 0.000 0.000 0.000
Ta 0.000 0.500 0.500

Calculated values
DOS(E_F): 15.47 states/eV/f.u.
VASP energy: -78.000 eV for the cell shown

Record 3
Below is a geometry-optimized Dy6ZnCd2 structure, with properties calculated at the GGA-PBE level.

a b c (Å): 5.060 7.201 8.779
angles (deg): 114.21 106.73 90.00
Atoms (fractional coordinates):
Dy 0.500 0.239 0.000
Dy 0.837 0.592 0.674
Dy 0.500 0.761 0.000
Dy 0.163 0.919 0.326
Dy 0.163 0.408 0.326
Dy 0.837 0.081 0.674
Cd 0.666 0.666 0.332
Cd 0.334 0.334 0.668
Zn 0.000 0.000 0.000

Calculated values
DOS(E_F): 13.19 states/eV/f.u.
VASP energy: -30.036 eV for the cell shown

Record 4
Below is a geometry-optimized Tl6Se5 structure, with properties calculated at the GGA-PBE level.

a b c (Å): 7.429 7.588 7.329
angles (deg): 83.61 76.86 60.69
Atoms (fractional coordinates):
Se 0.838 0.325 0.500
Se 0.681 0.637 0.000
Se 0.500 0.000 0.500
Se 0.319 0.363 0.000
Se 0.162 0.675 0.500
Tl 0.896 0.649 0.276
Tl 0.104 0.351 0.724
Tl 0.456 0.649 0.724
Tl 0.752 0.000 0.786
Tl 0.248 0.000 0.214
Tl 0.544 0.351 0.276

Calculated values
DOS(E_F): 4.53 states/eV/f.u.
VASP energy: -34.574 eV for the cell shown

Record 5
Below is a geometry-optimized Pr2HoTm4Th structure, with properties calculated at the GGA-PBE level.

a b c (Å): 5.091 5.076 11.110
angles (deg): 62.86 90.00 90.00
Atoms (fractional coordinates):
Ho 0.500 0.500 0.000
Tm 0.000 0.753 0.747
Tm 0.000 0.247 0.253
Tm 0.500 0.747 0.253
Tm 0.500 0.253 0.747
Pr 0.500 0.000 0.500
Pr 0.000 0.000 0.000
Th 0.000 0.500 0.500

Calculated values
DOS(E_F): 11.41 states/eV/f.u.
VASP energy: -39.155 eV for the cell shown

Record 6
Below is a geometry-optimized Er3SiNi2 structure, with properties calculated at the GGA-PBE level.

a b c (Å): 3.944 11.223 11.261
angles (deg): 90.00 90.00 90.00
Atoms (fractional coordinates):
Si 0.750 0.869 0.872
Si 0.750 0.631 0.372
Si 0.250 0.369 0.628
Si 0.250 0.131 0.128
Er 0.750 0.562 0.618
Er 0.250 0.119 0.561
Er 0.750 0.938 0.118
Er 0.250 0.687 0.192
Er 0.750 0.313 0.808
Er 0.750 0.187 0.308
Er 0.250 0.813 0.692
Er 0.250 0.381 0.061
Er 0.750 0.881 0.439
Er 0.250 0.062 0.882
Er 0.250 0.438 0.382
Er 0.750 0.619 0.939
Ni 0.250 0.689 0.467
Ni 0.250 0.487 0.807
Ni 0.250 0.811 0.967
Ni 0.750 0.987 0.693
Ni 0.750 0.513 0.193
Ni 0.750 0.311 0.533
Ni 0.250 0.013 0.307
Ni 0.750 0.189 0.033

Calculated values
DOS(E_F): 5.27 states/eV/f.u.
VASP energy: -135.200 eV for the cell shown

Record 7
Below is a geometry-optimized Ac2La2Pr structure, with properties calculated at the GGA-PBE level.

a b c (Å): 3.795 5.818 9.476
angles (deg): 107.88 90.00 90.00
Atoms (fractional coordinates):
La 0.000 0.199 0.398
La 0.000 0.801 0.602
Pr 0.000 0.000 0.000
Ac 0.500 0.393 0.787
Ac 0.500 0.607 0.213

Calculated values
DOS(E_F): 7.67 states/eV/f.u.
VASP energy: -22.678 eV for the cell shown

Record 8
Below is a geometry-optimized PrSm6Tl structure, with properties calculated at the GGA-PBE level.

a b c (Å): 4.998 4.998 10.356
angles (deg): 90.00 90.00 90.00
Atoms (fractional coordinates):
Sm 0.000 0.500 0.258
Sm 0.500 0.500 0.500
Sm 0.500 0.000 0.258
Sm 0.000 0.500 0.742
Sm 0.500 0.000 0.742
Sm 0.500 0.500 0.000
Pr 0.000 0.000 0.000
Tl 0.000 0.000 0.500

Calculated values
DOS(E_F): 9.64 states/eV/f.u.
VASP energy: -36.059 eV for the cell shown